(1)
Density functional theory data (PBE-GGA) for La3Pb3I13O40 after structural relaxation.

Cell and atoms, written as CIF:
```
data_La3Pb3I13O40
_cell_length_a 22.4214
_cell_length_b 22.4214
_cell_length_c 14.1040
_cell_angle_alpha 90.00
_cell_angle_beta 90.00
_cell_angle_gamma 120.00
_space_group_name_H-M_alt 'R 3 c'
_space_group_IT_number 161
_space_group_name_Hall 'R 3 -2"c'
loop_
_atom_site_label
_atom_site_type_symbol
_atom_site_fract_x
_atom_site_fract_y
_atom_site_fract_z
La1 La 0.1723 0.4689 0.0000
Pb1 Pb 0.0147 0.1056 0.0629
I1 I 0.0000 0.0000 0.3482
I2 I 0.0062 0.3030 0.1285
I3 I 0.0446 0.4947 0.1794
I4 I 0.0462 0.1942 0.7615
I5 I 0.1886 0.4088 0.2554
O1 O 0.0000 0.0000 0.1149
O2 O 0.0049 0.0738 0.4120
O3 O 0.0084 0.2783 0.2517
O4 O 0.0180 0.1907 0.6382
O5 O 0.0547 0.1543 0.2359
O6 O 0.0572 0.3781 0.4736
O7 O 0.0806 0.2328 0.4078
O8 O 0.0835 0.5008 0.7239
O9 O 0.0924 0.3816 0.1278
O10 O 0.1361 0.3412 0.7121
O11 O 0.1465 0.0286 0.8091
O12 O 0.1784 0.3648 0.9536
O13 O 0.1919 0.4611 0.8241
O14 O 0.1965 0.0879 0.4894
```



(2)
Density functional theory data (PBE-GGA) for LaPdI2O after structural relaxation.

Cell and atoms, written as CIF:
```
data_LaPdI2O
_cell_length_a 5.6956
_cell_length_b 5.6956
_cell_length_c 4.0050
_cell_angle_alpha 90.00
_cell_angle_beta 90.00
_cell_angle_gamma 90.00
_space_group_name_H-M_alt 'P 4/m m m'
_space_group_IT_number 123
_space_group_name_Hall '-P 4 2'
loop_
_atom_site_label
_atom_site_type_symbol
_atom_site_fract_x
_atom_site_fract_y
_atom_site_fract_z
La1 La 0.0000 0.0000 0.0000
Pd1 Pd 0.5000 0.5000 0.5000
I1 I 0.0000 0.5000 0.5000
O1 O 0.5000 0.5000 0.0000
```



(3)
Density functional theory data (PBE-GGA) for LaPdIO2 after structural relaxation.

Cell and atoms, written as CIF:
```
data_LaPdIO2
_cell_length_a 4.4356
_cell_length_b 4.4356
_cell_length_c 4.9650
_cell_angle_alpha 90.00
_cell_angle_beta 90.00
_cell_angle_gamma 90.00
_space_group_name_H-M_alt 'P 4/m m m'
_space_group_IT_number 123
_space_group_name_Hall '-P 4 2'
loop_
_atom_site_label
_atom_site_type_symbol
_atom_site_fract_x
_atom_site_fract_y
_atom_site_fract_z
La1 La 0.0000 0.0000 0.0000
Pd1 Pd 0.5000 0.5000 0.5000
I1 I 0.5000 0.5000 0.0000
O1 O 0.0000 0.5000 0.5000
```



(4)
Density functional theory data (PBE-GGA) for LaPdI2O after structural relaxation.

Cell and atoms, written as CIF:
```
data_LaPdI2O
_cell_length_a 6.4565
_cell_length_b 6.4565
_cell_length_c 4.2633
_cell_angle_alpha 90.00
_cell_angle_beta 90.00
_cell_angle_gamma 90.00
_space_group_name_H-M_alt 'P 4/m m m'
_space_group_IT_number 123
_space_group_name_Hall '-P 4 2'
loop_
_atom_site_label
_atom_site_type_symbol
_atom_site_fract_x
_atom_site_fract_y
_atom_site_fract_z
La1 La 0.0000 0.0000 0.0000
Pd1 Pd 0.5000 0.5000 0.5000
I1 I 0.0000 0.5000 0.0000
O1 O 0.0000 0.0000 0.5000
```



(5)
Density functional theory data (PBE-GGA) for LaPdIO2 after structural relaxation.

Cell and atoms, written as CIF:
```
data_LaPdIO2
_cell_length_a 4.2405
_cell_length_b 4.2405
_cell_length_c 7.3460
_cell_angle_alpha 90.00
_cell_angle_beta 90.00
_cell_angle_gamma 90.00
_space_group_name_H-M_alt 'P 4/m m m'
_space_group_IT_number 123
_space_group_name_Hall '-P 4 2'
loop_
_atom_site_label
_atom_site_type_symbol
_atom_site_fract_x
_atom_site_fract_y
_atom_site_fract_z
La1 La 0.0000 0.0000 0.0000
Pd1 Pd 0.5000 0.5000 0.5000
I1 I 0.0000 0.0000 0.5000
O1 O 0.0000 0.5000 0.0000
```



(6)
Density functional theory data (PBE-GGA) for LaPmIO6 after structural relaxation.

Cell and atoms, written as CIF:
```
data_LaPmIO6
_cell_length_a 5.8591
_cell_length_b 5.8591
_cell_length_c 9.5248
_cell_angle_alpha 90.00
_cell_angle_beta 90.00
_cell_angle_gamma 120.00
_space_group_name_H-M_alt 'P -3 1 c'
_space_group_IT_number 163
_space_group_name_Hall '-P 3 2c'
loop_
_atom_site_label
_atom_site_type_symbol
_atom_site_fract_x
_atom_site_fract_y
_atom_site_fract_z
La1 La 0.3333 0.6667 0.2500
Pm1 Pm 0.0000 0.0000 0.0000
I1 I 0.3333 0.6667 0.7500
O1 O 0.0523 0.3713 0.6333
```



(7)
Density functional theory data (PBE-GGA) for La2PrIO8 after structural relaxation.

Cell and atoms, written as CIF:
```
data_La2PrIO8
_cell_length_a 5.2665
_cell_length_b 7.1547
_cell_length_c 5.2719
_cell_angle_alpha 90.00
_cell_angle_beta 90.78
_cell_angle_gamma 90.00
_space_group_name_H-M_alt 'P 1 2/m 1'
_space_group_IT_number 10
loop_
_space_group_symop_operation_xyz
'x,y,z'
'-x,-y,-z'
'-x,y,-z'
'x,-y,z'
loop_
_atom_site_label
_atom_site_type_symbol
_atom_site_fract_x
_atom_site_fract_y
_atom_site_fract_z
La1 La 0.0000 0.2458 0.0000
Pr1 Pr 0.5000 0.5000 0.5000
I1 I 0.5000 0.0000 0.5000
O1 O 0.1869 0.5000 0.1872
O2 O 0.2432 0.0000 0.2449
O3 O 0.3264 0.1986 0.6746
```



(8)
Density functional theory data (PBE-GGA) for LaPr2IO8 after structural relaxation.

Cell and atoms, written as CIF:
```
data_LaPr2IO8
_cell_length_a 7.3391
_cell_length_b 7.3913
_cell_length_c 7.2238
_cell_angle_alpha 90.00
_cell_angle_beta 90.00
_cell_angle_gamma 90.00
_space_group_name_H-M_alt 'C m m m'
_space_group_IT_number 65
_space_group_name_Hall '-C 2 2'
loop_
_atom_site_label
_atom_site_type_symbol
_atom_site_fract_x
_atom_site_fract_y
_atom_site_fract_z
La1 La 0.0000 0.0000 0.0000
Pr1 Pr 0.0000 0.5000 0.2541
I1 I 0.0000 0.0000 0.5000
O1 O 0.0000 0.1767 0.3045
O2 O 0.1893 0.5000 0.0000
O3 O 0.2414 0.5000 0.5000
```



(9)
Density functional theory data (PBE-GGA) for LaPr2IO4 after structural relaxation.

Cell and atoms, written as CIF:
```
data_LaPr2IO4
_cell_length_a 4.1370
_cell_length_b 4.1370
_cell_length_c 9.8490
_cell_angle_alpha 90.00
_cell_angle_beta 90.00
_cell_angle_gamma 90.00
_space_group_name_H-M_alt 'P 4/m m m'
_space_group_IT_number 123
_space_group_name_Hall '-P 4 2'
loop_
_atom_site_label
_atom_site_type_symbol
_atom_site_fract_x
_atom_site_fract_y
_atom_site_fract_z
La1 La 0.0000 0.0000 0.0000
Pr1 Pr 0.5000 0.5000 0.2525
I1 I 0.0000 0.0000 0.5000
O1 O 0.0000 0.5000 0.1507
```



(10)
Density functional theory data (PBE-GGA) for LaPuIO4 after structural relaxation.

Cell and atoms, written as CIF:
```
data_LaPuIO4
_cell_length_a 16.0727
_cell_length_b 6.3318
_cell_length_c 6.6741
_cell_angle_alpha 90.00
_cell_angle_beta 103.13
_cell_angle_gamma 90.00
_space_group_name_H-M_alt 'C 1 2/m 1'
_space_group_IT_number 12
loop_
_space_group_symop_operation_xyz
'x,y,z'
'-x,-y,-z'
'-x,y,-z'
'x,-y,z'
'x+1/2,y+1/2,z'
'-x+1/2,-y+1/2,-z'
'-x+1/2,y+1/2,-z'
'x+1/2,-y+1/2,z'
loop_
_atom_site_label
_atom_site_type_symbol
_atom_site_fract_x
_atom_site_fract_y
_atom_site_fract_z
La1 La 0.2200 0.0000 0.3371
Pu1 Pu 0.0993 0.0000 0.6893
I1 I 0.0137 0.5000 0.7632
O1 O 0.0600 0.0000 0.3953
O2 O 0.1402 0.0000 0.9770
O3 O 0.1916 0.2146 0.6282
```



(11)
Density functional theory data (PBE-GGA) for LaPu2IO4 after structural relaxation.

Cell and atoms, written as CIF:
```
data_LaPu2IO4
_cell_length_a 4.0563
_cell_length_b 4.0563
_cell_length_c 9.5296
_cell_angle_alpha 90.00
_cell_angle_beta 90.00
_cell_angle_gamma 90.00
_space_group_name_H-M_alt 'P 4/m m m'
_space_group_IT_number 123
_space_group_name_Hall '-P 4 2'
loop_
_atom_site_label
_atom_site_type_symbol
_atom_site_fract_x
_atom_site_fract_y
_atom_site_fract_z
La1 La 0.0000 0.0000 0.0000
Pu1 Pu 0.5000 0.5000 0.2583
I1 I 0.0000 0.0000 0.5000
O1 O 0.0000 0.5000 0.1586
```



(12)
Density functional theory data (PBE-GGA) for RbLaI2O8 after structural relaxation.

Cell and atoms, written as CIF:
```
data_RbLaI2O8
_cell_length_a 11.6865
_cell_length_b 6.2838
_cell_length_c 6.8889
_cell_angle_alpha 90.00
_cell_angle_beta 111.62
_cell_angle_gamma 90.00
_space_group_name_H-M_alt 'C 1 2/m 1'
_space_group_IT_number 12
loop_
_space_group_symop_operation_xyz
'x,y,z'
'-x,-y,-z'
'-x,y,-z'
'x,-y,z'
'x+1/2,y+1/2,z'
'-x+1/2,-y+1/2,-z'
'-x+1/2,y+1/2,-z'
'x+1/2,-y+1/2,z'
loop_
_atom_site_label
_atom_site_type_symbol
_atom_site_fract_x
_atom_site_fract_y
_atom_site_fract_z
Rb1 Rb 0.0000 0.0000 0.0000
La1 La 0.0000 0.5000 0.5000
I1 I 0.2227 0.0000 0.6965
O1 O 0.1023 0.5000 0.2513
O2 O 0.1326 0.2346 0.7365
O3 O 0.1709 0.0000 0.4160
```



For the records above, the corresponding E_tot values read -5.028, -4.236, -5.022, -4.535, -5.395, -6.525, -6.920, -6.883, -7.550, -8.313, -9.722, -5.108 eV per atom.
For the records above, the corresponding formation energy from raw total energies values read -5041, -290, -340, -434, -520, -1712, -2624, -2595, -2367, -1693, -2200, -1219 kJ/mol of formula units.
For the records above, the corresponding size of the total moment values read 1.08, 0.68, 0.00, 0.80, 0.00, 0.00, 0.00, 0.00, 0.00, 9.40, 10.00, 3.95 μB/cell.